NaPm4Mg5 | PBE-GGA | optimized geometry

```
NaPm4Mg5
1.0
3.852 0.000 0.000
0.000 3.852 0.000
0.000 0.000 19.544
Na Pm Mg
1 4 5
Direct
0.000 0.000 0.000
0.000 0.000 0.205
0.000 0.000 0.401
0.000 0.000 0.599
0.000 0.000 0.795
0.500 0.500 0.104
0.500 0.500 0.303
0.500 0.500 0.500
0.500 0.500 0.697
0.500 0.500 0.896
```

Fermi-level density of states	8.447	states/eV/f.u.
spin magnetization	0.00	μB/f.u.
calculated formation energy	-52	kJ/mol of formula units
SG	No. 123

CaY2Ir | PBE-GGA | optimized geometry

```
CaY2Ir
1.0
3.517 0.000 0.000
0.000 3.528 0.000
0.000 0.000 9.369
Ca Y Ir
1 2 1
Direct
0.000 0.000 0.000
0.500 0.500 0.328
0.500 0.500 0.672
0.000 0.000 0.500
```

Fermi-level density of states	3.056	states/eV/f.u.
energy above the lowest structure with this stoichiometry	0.0	meV/atom
spin magnetization	0.00	μB/f.u.
calculated formation energy	-155	kJ/mol of formula units
SG	No. 47

Cr2WAuI | PBE-GGA | optimized geometry

```
Cr2WAuI
1.0
4.938 0.000 0.000
0.000 4.938 0.000
0.000 0.000 5.191
Cr W Au I
2 1 1 1
Direct
0.000 0.500 0.000
0.500 0.000 0.000
0.000 0.000 0.500
0.500 0.500 0.500
0.500 0.500 0.000
```

Fermi-level density of states	2.553	states/eV/f.u.
energy relative to the elements, uncorrected	10.6	eV per formula unit
spin magnetization	3.87	μB/f.u.
SG	No. 123